VASP calculation (GGA-PBE) on a geometry-optimized PbSeO4 structure.

Cell: 4.9429 6.5403 5.3010 Å, 105.99 90.00 112.20°
Fractional positions:
Pb (0.2266, 0.0000, 0.2500)
O (0.2602, 0.7846, 0.5788)
O (0.2324, 0.3878, 0.6808)
Se (0.0000, 0.5000, 0.5000)
O (0.7676, 0.6122, 0.3192)
O (0.1554, 0.3878, 0.1808)
O (0.7398, 0.2154, 0.4212)
Se (0.5000, 0.5000, 0.0000)
O (0.8446, 0.6122, 0.8192)
Pb (0.7734, 0.0000, 0.7500)
O (0.5244, 0.7846, 0.0788)
O (0.4756, 0.2154, 0.9212)

The space group is C2/c, No. 15. The value obtained for the uncorrected formation energy is -0.643 eV/atom. The relative energy among the computed polymorphs is 1.76 eV per formula unit.



VASP calculation (GGA-PBE) on a geometry-optimized MgFe2BrCl structure.

Cell: 5.2716 4.7177 5.2716 Å, 90.00 90.00 90.00°
Each line ends with the local moment (μB).
Fractional positions:
Mg (0.0000, 0.0000, 0.0000)  -0.02
Fe (0.5000, 0.0000, 0.0000)  3.36
Br (0.5000, 0.5000, 0.5000)  0.17
Cl (0.0000, 0.5000, 0.0000)  0.07
Fe (0.0000, 0.0000, 0.5000)  3.39

The space group is P4/mmm, No. 123. The value obtained for the uncorrected formation energy is 0.837 eV/atom.



VASP calculation (GGA-PBE) on a geometry-optimized Mg7Pd2Rh2 structure.

Cell: 5.6432 7.2930 5.6432 Å, 90.00 116.73 90.00°
Fractional positions:
Pd (0.7710, 0.5000, 0.7710)
Rh (0.7249, 0.0000, 0.2751)
Mg (0.5000, 0.2020, 0.5000)
Mg (0.5000, 0.7980, 0.5000)
Pd (0.2290, 0.5000, 0.2290)
Rh (0.2751, 0.0000, 0.7249)
Mg (0.5000, 0.7004, 0.0000)
Mg (0.0000, 0.0000, 0.0000)
Mg (0.0000, 0.7004, 0.5000)
Mg (0.0000, 0.2996, 0.5000)
Mg (0.5000, 0.2996, 0.0000)

The energy relative to the elements comes out at -292 kJ/mol of formula units. The space group is Cmmm, No. 65.



VASP calculation (GGA-PBE) on a geometry-optimized GaSe2SN structure.

Cell: 5.1623 5.1623 3.5883 Å, 90.00 90.00 90.00°
Fractional positions:
Ga (0.0000, 0.0000, 0.0000)
Se (0.0000, 0.5000, 0.0000)
N (0.0000, 0.0000, 0.5000)
S (0.5000, 0.5000, 0.5000)
Se (0.5000, 0.0000, 0.0000)

The space group is P4/mmm, No. 123. The value obtained for the uncorrected formation energy is 0.990 eV/atom. The relative energy among the computed polymorphs is 1.04 eV per formula unit.



VASP calculation (GGA-PBE) on a geometry-optimized KCd7In12 structure.

Cell: 9.4798 9.4798 9.4798 Å, 109.47 109.47 109.47°
Fractional positions:
In (0.2532, 0.8978, 0.6445)
In (0.3555, 0.2532, 0.6087)
In (0.2532, 0.6087, 0.3555)
In (0.1022, 0.3555, 0.7468)
In (0.6445, 0.7468, 0.3913)
In (0.6445, 0.2532, 0.8978)
In (0.3555, 0.7468, 0.1022)
Cd (0.0000, 0.0000, 0.5000)
Cd (0.5000, 0.5000, 0.0000)
Cd (0.0000, 0.5000, 0.0000)
Cd (0.5000, 0.5000, 0.5000)
Cd (0.5000, 0.0000, 0.0000)
In (0.7468, 0.3913, 0.6445)
K (0.0000, 0.0000, 0.0000)
In (0.7468, 0.1022, 0.3555)
Cd (0.0000, 0.5000, 0.5000)
In (0.6087, 0.3555, 0.2532)
In (0.3913, 0.6445, 0.7468)
Cd (0.5000, 0.0000, 0.5000)
In (0.8978, 0.6445, 0.2532)

The energy relative to the elements comes out at 174 kJ/mol of formula units. The space group is Im-3, No. 204.



VASP calculation (GGA-PBE) on a geometry-optimized PuGaH structure.

Cell: 3.1869 3.6968 8.3496 Å, 90.00 90.00 90.00°
Each line ends with the local moment (μB).
Fractional positions:
Ga (0.4809, 0.4926, 0.2994)  -0.02
Ga (0.9808, 0.9927, 0.4581)  -0.02
H (0.9803, 0.4930, 0.8967)  -0.03
H (0.4804, 0.9930, 0.8611)  -0.03
Pu (0.9804, 0.9929, 0.0557)  5.42
Pu (0.4804, 0.4929, 0.7020)  5.42

The space group is Pmmn, No. 59. The relative energy among the computed polymorphs is 0.00 eV per formula unit.



VASP calculation (GGA-PBE) on a geometry-optimized MnZnAg structure.

Cell: 4.8841 4.8841 4.8841 Å, 145.24 134.35 58.63°
Each line ends with the local moment (μB).
Fractional positions:
Mn (0.6725, 0.6725, 0.0000)  3.71
Ag (0.9983, 0.9983, 0.0000)  0.05
Zn (0.3293, 0.3293, 0.0000)  -0.04

The energy relative to the elements comes out at 41 kJ/mol of formula units. The space group is Imm2, No. 44. The relative energy among the computed polymorphs is 0.31 eV per formula unit.



VASP calculation (GGA-PBE) on a geometry-optimized Ba2LaAl structure.

Cell: 6.4126 6.4126 4.0410 Å, 90.00 90.00 108.20°
Fractional positions:
La (0.5000, 0.0000, 0.5000)
Ba (0.0000, 0.0000, 0.0000)
Al (0.0000, 0.5000, 0.5000)
Ba (0.5000, 0.5000, 0.0000)

The energy relative to the elements comes out at 71 kJ/mol of formula units. The space group is Cmmm, No. 65.



no.,ρ (kg/m³),electronic total energy (eV/atom)
1,7677,-5.147
2,3184,-3.570
3,4714,-3.570
4,4753,-3.499
5,5580,-1.928
6,10626,-7.189
7,8049,-4.291
8,4634,-2.945